Material: Li4MnVP3O12
Method: DFT, PBE with a Hubbard U
State: optimized geometry

```
Li4MnVP3O12
1.0
9.215 0.036 0.044
-0.045 8.495 0.033
3.841 4.221 6.285
O V P Li Mn
24 2 6 8 2
Cartesian
2.266 8.728 2.282
6.203 5.432 6.225
7.105 1.743 0.792
4.556 0.833 1.157
6.973 3.571 2.502
10.054 7.084 4.234
7.600 4.152 0.145
9.259 2.809 1.525
4.740 4.633 3.857
6.654 7.177 0.109
8.322 11.634 4.993
9.412 6.140 1.961
3.672 9.970 4.739
7.865 5.892 4.002
3.072 2.662 1.945
3.127 5.697 2.193
10.008 9.974 4.346
10.680 3.974 4.129
5.974 9.675 3.678
8.242 8.175 2.880
3.540 6.779 4.449
5.519 8.748 6.013
5.684 11.253 5.590
5.399 6.764 2.723
11.485 8.490 4.415
6.735 4.327 4.478
8.862 6.796 3.268
5.232 9.876 5.010
7.742 3.070 1.264
9.852 11.406 4.999
4.218 5.989 3.236
3.107 1.247 1.306
3.336 3.226 3.853
2.022 7.019 1.269
8.117 5.987 0.487
4.910 6.888 5.874
9.622 9.566 2.382
11.012 5.667 5.149
7.894 9.612 4.309
5.329 2.467 2.077
6.273 8.373 1.853
1.550 4.295 1.905
```

## Properties
Total magnetic moment in Bohr magnetons per cell: 14.0
E in eV per atom: -6.946
Offset from the most stable computed form in eV per formula unit: 0.16